# 1
{"formula": "HgRu2Rh", "functional": "PBE-GGA", "state": "optimized geometry", "crystal_system": "orthorhombic", "sg": "Pmmm (47)", "lattice_angstrom": [[2.760, 0.000, 0.000], [0.000, 3.902, 0.000], [0.000, 0.000, 5.870]], "species": ["Hg", "Rh", "Ru", "Ru"], "fractional_positions": [[0.500, 0.500, 0.250], [0.500, 0.500, 0.750], [0.000, 0.000, 0.966], [0.000, 0.000, 0.534]]}

=====

# 2
{"formula": "HgRuRh", "functional": "PBE-GGA", "state": "optimized geometry", "crystal_system": "trigonal", "sg": "P3m1 (156)", "lattice_angstrom": [[2.853, 0.000, 0.000], [-1.426, 2.471, 0.000], [0.000, 0.000, 6.913]], "species": ["Hg", "Rh", "Ru"], "fractional_positions": [[0.000, 0.000, 0.001], [0.333, 0.667, 0.354], [0.667, 0.333, 0.646]]}

=====

# 3
{"formula": "HgRu2Rh", "functional": "PBE-GGA", "state": "optimized geometry", "crystal_system": "monoclinic", "sg": "C2/m (12)", "lattice_angstrom": [[4.844, 0.002, -0.004], [4.028, 2.691, -0.004], [0.848, 0.257, 4.810]], "species": ["Hg", "Rh", "Ru", "Ru"], "fractional_positions": [[0.250, 0.250, 0.250], [0.750, 0.750, 0.750], [0.011, 0.011, 0.971], [0.489, 0.489, 0.529]]}

=====

# 4
{"formula": "HgRuRh", "functional": "PBE-GGA", "state": "optimized geometry", "crystal_system": "cubic", "sg": "F-43m (216)", "lattice_angstrom": [[-0.690, -1.415, 4.035], [-2.911, -3.122, 0.732], [1.316, -3.959, 1.161]], "species": ["Hg", "Rh", "Ru"], "fractional_positions": [[0.500, 0.500, 0.500], [0.750, 0.750, 0.750], [0.000, 0.000, 0.000]]}

=====

# 5
{"formula": "HgRu4Rh", "functional": "PBE-GGA", "state": "optimized geometry", "crystal_system": "cubic", "sg": "F-43m (216)", "lattice_angstrom": [[0.000, 3.632, 3.632], [3.632, 0.000, 3.632], [3.632, 3.632, 0.000]], "species": ["Hg", "Ru", "Ru", "Ru", "Ru", "Rh"], "fractional_positions": [[0.750, 0.750, 0.750], [0.876, 0.375, 0.375], [0.375, 0.375, 0.876], [0.375, 0.876, 0.375], [0.375, 0.375, 0.375], [0.000, 0.000, 0.000]]}

=====

# 6
{"formula": "Hg3RuRh", "functional": "PBE-GGA", "state": "optimized geometry", "crystal_system": "cubic", "sg": "Pm-3m (221)", "lattice_angstrom": [[5.117, 0.000, 0.000], [0.000, 5.117, 0.000], [0.000, 0.000, 5.117]], "species": ["Ru", "Rh", "Hg", "Hg", "Hg"], "fractional_positions": [[0.500, 0.500, 0.500], [0.000, 0.000, 0.000], [0.000, 0.500, 0.000], [0.000, 0.000, 0.500], [0.500, 0.000, 0.000]]}

=====

| no. | ΔE_f (kJ per mole of atoms) | D(E_F) (states/eV per atom) |
| --- | --- | --- |
| 1 | 41.1 | 1.422 |
| 2 | 31.8 | 1.055 |
| 3 | 38.3 | 1.469 |
| 4 | 68.0 | 1.132 |
| 5 | 63.6 | 1.651 |
| 6 | 111.0 | 1.454 |